Si2Pd8S (GGA-PBE, optimized geometry); space-group type = C2/m (12); energy relative to the elements, uncorrected = -0.46 eV/atom
1.0
4.024 0.000 0.000
0.000 5.801 0.094
-2.012 -2.375 6.993
Si Pd S
2 8 1
direct
0.819 0.301 0.638
0.181 0.699 0.362
0.408 0.544 0.815
0.670 0.969 0.341
0.794 0.682 0.588
0.967 0.219 0.934
0.206 0.318 0.412
0.330 0.031 0.659
0.592 0.456 0.185
0.033 0.781 0.066
0.500 0.000 0.000

***

Ba2ZrSc (GGA-PBE, optimized geometry); space-group type = P4/mmm (123); offset from the most stable computed form = 0.3595 eV/atom; formation energy = 704 meV/atom
1.0
-3.936 0.198 4.550
0.133 -6.006 0.377
2.980 0.227 2.568
Ba Sc Zr
2 1 1
direct
0.000 0.000 0.000
0.500 0.500 0.000
0.500 0.000 0.500
0.000 0.500 0.500

***

Ca2Pm3Nd8 (GGA-PBE, optimized geometry); space-group type = C2/m (12); formation energy = 185 meV/atom
1.0
6.259 0.404 1.488
2.178 8.635 1.711
1.042 -0.564 8.990
Ca Pm Nd
2 3 8
direct
0.368 0.279 0.279
0.632 0.721 0.721
0.500 0.000 0.000
0.000 0.231 0.769
0.000 0.769 0.231
0.210 0.550 0.550
0.790 0.450 0.450
0.961 0.158 0.158
0.039 0.842 0.842
0.668 0.576 0.100
0.668 0.100 0.576
0.332 0.900 0.424
0.332 0.424 0.900

***

HfCuIr (GGA-PBE, optimized geometry); space-group type = P3m1 (156); offset from the most stable computed form = 0.2179 eV/atom; formation energy = -426 meV/atom
1.0
-0.229 2.940 0.501
-4.037 -0.048 -1.563
0.695 -0.666 4.221
Ir Hf Cu
1 1 1
direct
0.168 0.333 0.667
0.666 0.667 0.333
0.165 0.000 0.000

***

VRhN (GGA-PBE, optimized geometry); space-group type = Amm2 (38); offset from the most stable computed form = 0.0906 eV/atom; energy relative to the elements, uncorrected = -0.53 eV/atom
1.0
-2.396 -1.355 -0.227
2.347 -5.483 7.956
-2.224 3.428 3.019
V Rh N
4 4 4
direct
0.500 0.200 0.717
0.500 0.800 0.717
0.500 0.700 0.217
0.500 0.300 0.217
0.500 0.000 0.982
0.500 0.500 0.482
0.000 0.000 0.451
0.000 0.500 0.951
0.000 0.707 0.940
0.000 0.293 0.940
0.000 0.207 0.440
0.000 0.793 0.440

***

Tm3Mg2Cd3 (GGA-PBE, optimized geometry); space-group type = Immm (71); formation energy = -199 meV/atom
1.0
3.639 0.000 0.000
0.000 5.246 0.000
-1.819 -2.623 10.411
Tm Mg Cd
3 2 3
direct
0.625 0.625 0.250
0.375 0.375 0.750
0.500 0.000 0.000
0.740 0.240 0.481
0.260 0.760 0.519
0.126 0.126 0.251
0.000 0.500 0.000
0.874 0.874 0.749

***

Ca3GeB2Pt9 (GGA-PBE, optimized geometry); space-group type = P-3m1 (164); formation energy = -696 meV/atom
1.0
5.788 0.000 0.000
-2.894 5.013 0.000
0.000 0.000 9.063
Ca Ge B Pt
3 1 2 9
direct
0.333 0.667 0.607
0.000 0.000 0.000
0.667 0.333 0.393
0.000 0.000 0.500
0.333 0.667 0.151
0.667 0.333 0.849
0.838 0.162 0.715
0.838 0.675 0.715
0.325 0.162 0.715
0.675 0.838 0.285
0.162 0.325 0.285
0.162 0.838 0.285
0.500 0.000 0.000
0.000 0.500 0.000
0.500 0.500 0.000

***

SrTl5Hg8 (GGA-PBE, optimized geometry); space-group type = C2 (5); formation energy = -90 meV/atom
1.0
-8.109 1.016 0.532
1.625 -7.993 0.734
3.761 4.198 5.939
Sr Tl Hg
1 5 8
direct
0.250 0.750 0.500
0.871 0.266 0.900
0.733 0.634 0.605
0.366 0.971 0.100
0.500 0.500 0.000
0.029 0.128 0.395
0.956 0.721 0.068
0.278 0.347 0.234
0.643 0.903 0.415
0.097 0.512 0.740
0.772 0.357 0.260
0.113 0.044 0.766
0.653 0.888 0.932
0.488 0.228 0.585

***

Tl3SeO6 (GGA-PBE, optimized geometry); space-group type = Cmc2_1 (36); energy relative to the elements, uncorrected = -0.66 eV/atom
1.0
-0.905 4.560 -4.228
-6.381 -2.910 -1.773
-1.648 4.611 5.325
Tl Se O
6 2 12
direct
0.486 0.908 0.692
0.986 0.692 0.908
0.500 0.409 0.591
0.000 0.591 0.409
0.986 0.092 0.308
0.486 0.308 0.092
0.013 0.171 0.829
0.513 0.829 0.171
0.263 0.665 0.668
0.763 0.668 0.665
0.137 0.388 0.920
0.637 0.920 0.388
0.144 0.035 0.965
0.558 0.215 0.785
0.058 0.785 0.215
0.644 0.965 0.035
0.137 0.080 0.612
0.637 0.612 0.080
0.263 0.332 0.335
0.763 0.335 0.332

***

K3PaTe4 (GGA-PBE, optimized geometry); space-group type = Cmmm (65); energy relative to the elements, uncorrected = -1.02 eV/atom
1.0
4.691 0.000 0.000
0.000 8.476 0.022
0.000 -2.651 8.050
K Pa Te
3 1 4
direct
0.000 0.000 0.500
0.500 0.500 0.500
0.000 0.500 0.000
0.500 0.000 0.000
0.000 0.205 0.205
0.500 0.786 0.214
0.000 0.795 0.795
0.500 0.214 0.786

***

Si2HgRu (GGA-PBE, optimized geometry); space-group type = P2/m (10); energy relative to the elements, uncorrected = 0.36 eV/atom
1.0
3.119 0.000 0.000
0.000 5.039 0.006
0.000 3.334 4.018
Hg Ru Si
1 1 2
direct
0.500 0.500 0.500
0.000 0.000 0.500
0.000 0.000 0.000
0.500 0.500 0.000

***

Li2PIr (GGA-PBE, optimized geometry); space-group type = I-42d (122); formation energy = -139 meV/atom
1.0
-4.679 0.809 5.614
5.310 -1.933 4.704
0.921 1.577 5.355
P Ir Li
2 2 4
direct
0.500 0.500 0.000
0.250 0.750 0.500
0.000 0.000 0.000
0.750 0.250 0.500
0.593 0.125 0.250
0.157 0.625 0.250
0.375 0.407 0.750
0.875 0.843 0.750

***

Mg2BeAlCd (GGA-PBE, optimized geometry); space-group type = P4/mmm (123); formation energy = 365 meV/atom
1.0
4.792 0.000 0.000
0.000 4.634 0.000
0.000 0.000 4.792
Be Mg Al Cd
1 2 1 1
direct
0.000 0.000 0.000
0.000 0.000 0.500
0.500 0.000 0.000
0.500 0.500 0.500
0.000 0.500 0.000

***

K2HoOs3O12 (GGA-PBE, optimized geometry); space-group type = R-3m (166); energy relative to the elements, uncorrected = -1.48 eV/atom
1.0
-4.054 -6.278 0.217
1.668 -5.853 -4.342
2.771 -6.315 2.888
K Ho Os O
2 1 3 12
direct
0.633 0.633 0.633
0.367 0.367 0.367
0.000 0.000 0.000
0.500 0.000 0.000
0.000 0.500 0.000
0.000 0.000 0.500
0.302 0.302 0.924
0.918 0.918 0.362
0.362 0.918 0.918
0.924 0.302 0.302
0.918 0.362 0.918
0.302 0.924 0.302
0.698 0.698 0.076
0.082 0.082 0.638
0.638 0.082 0.082
0.076 0.698 0.698
0.082 0.638 0.082
0.698 0.076 0.698

***

MoOs2Pd2 (GGA-PBE, optimized geometry); space-group type = I4/mmm (139); offset from the most stable computed form = 0.2169 eV/atom; formation energy = 837 meV/atom
1.0
-3.083 0.284 1.719
-0.392 -3.517 -0.122
1.447 -2.173 6.604
Mo Os Pd
1 2 2
direct
0.000 0.000 0.000
0.750 0.250 0.500
0.250 0.750 0.500
0.403 0.403 0.195
0.597 0.597 0.805

***

KP2 (GGA-PBE, optimized geometry); space-group type = P-62m (189); formation energy = -242 meV/atom
1.0
-7.391 5.168 -3.781
4.224 -7.069 -5.274
-2.221 -2.260 1.251
K P
3 6
direct
0.333 0.667 0.000
0.667 0.333 0.000
0.000 0.000 0.500
0.293 0.000 0.000
0.000 0.293 0.000
0.707 0.707 0.000
0.431 0.000 0.500
0.000 0.431 0.500
0.569 0.569 0.500

***

KZn2Pt2 (GGA-PBE, optimized geometry); space-group type = P4/mbm (127); offset from the most stable computed form = 0.0027 eV/atom; formation energy = -352 meV/atom
1.0
-0.376 7.160 -3.405
0.732 -3.363 -7.153
-2.807 -0.232 -0.178
Zn K Pt
4 2 4
direct
0.154 0.654 0.500
0.654 0.846 0.500
0.846 0.346 0.500
0.346 0.154 0.500
0.000 0.000 0.000
0.500 0.500 0.000
0.361 0.861 0.000
0.861 0.639 0.000
0.639 0.139 0.000
0.139 0.361 0.000

***

TmPaSnPd (GGA-PBE, optimized geometry); space-group type = F-43m (216); formation energy = -339 meV/atom
1.0
-0.143 -2.436 4.535
3.993 0.342 3.234
-0.443 2.702 4.361
Pa Tm Sn Pd
1 1 1 1
direct
0.750 0.750 0.750
0.250 0.250 0.250
0.000 0.000 0.000
0.500 0.500 0.500

***

La2FeSi3Ni12 (GGA-PBE, optimized geometry); space-group type = R-3m (166); energy relative to the elements, uncorrected = -0.07 eV/atom
1.0
6.086 -1.350 -0.958
1.832 5.959 -0.958
1.832 1.066 5.941
La Fe Si Ni
2 1 3 12
direct
0.643 0.643 0.643
0.357 0.357 0.357
0.000 0.000 0.000
0.500 0.000 0.000
0.000 0.500 0.000
0.000 0.000 0.500
0.380 0.380 0.913
0.813 0.813 0.295
0.295 0.813 0.813
0.913 0.380 0.380
0.813 0.295 0.813
0.380 0.913 0.380
0.620 0.620 0.087
0.187 0.187 0.705
0.705 0.187 0.187
0.087 0.620 0.620
0.187 0.705 0.187
0.620 0.087 0.620

***

TlInP2S6 (GGA-PBE, optimized geometry); space-group type = P2_1 (4); energy relative to the elements, uncorrected = -0.34 eV/atom
1.0
-9.479 0.397 -2.369
0.240 -6.285 -2.014
-2.080 -1.978 7.995
Tl In P S
2 2 4 12
direct
0.750 0.185 0.953
0.250 0.815 0.047
0.432 0.304 0.488
0.932 0.696 0.512
0.294 0.308 0.809
0.794 0.692 0.191
0.114 0.212 0.645
0.614 0.788 0.355
0.957 0.411 0.704
0.457 0.589 0.296
0.224 0.311 0.027
0.724 0.689 0.973
0.180 0.216 0.418
0.680 0.784 0.582
0.445 0.099 0.740
0.945 0.901 0.260
0.560 0.067 0.281
0.060 0.933 0.719
0.352 0.574 0.723
0.852 0.426 0.277

***

CaCuF2 (GGA-PBE, optimized geometry); space-group type = I-42d (122); offset from the most stable computed form = 0.2494 eV/atom; energy relative to the elements, uncorrected = -2.02 eV/atom
1.0
-1.132 0.216 5.083
-2.148 -4.741 -0.277
3.443 -4.638 3.636
Ca Cu F
2 2 4
direct
0.500 0.500 0.000
0.250 0.750 0.500
0.000 0.000 0.000
0.750 0.250 0.500
0.568 0.125 0.250
0.182 0.625 0.250
0.375 0.432 0.750
0.875 0.818 0.750

***

SrAlCr2 (GGA-PBE, optimized geometry); space-group type = Cm (8); formation energy = 240 meV/atom
1.0
4.302 -0.843 0.385
2.868 3.315 0.385
1.840 0.634 5.957
Sr Al Cr
1 1 2
direct
0.504 0.504 0.489
0.691 0.691 0.925
0.990 0.990 0.030
0.315 0.315 0.056